(i)
Mg3TiAg | GGA-PBE | optimized geometry

CIF file:
```
data_Mg3TiAg
_chemical_formula_sum 'Mg3 Ti1 Ag1'
_cell_length_a 4.945
_cell_length_b 4.945
_cell_length_c 4.945
_cell_angle_alpha 90.00
_cell_angle_beta 90.00
_cell_angle_gamma 90.00
_space_group_name_H-M_alt 'P m -3 m'
_space_group_IT_number 221
_space_group_name_Hall '-P 4 2 3'
loop_
_atom_site_label
_atom_site_type_symbol
_atom_site_fract_x
_atom_site_fract_y
_atom_site_fract_z
Mg1 Mg 0.000 0.000 0.500
Ti1 Ti 0.500 0.500 0.500
Ag1 Ag 0.000 0.000 0.000
```

=====

(ii)
Mg3TiAg | GGA-PBE | optimized geometry

CIF file:
```
data_Mg3TiAg
_chemical_formula_sum 'Mg3 Ti1 Ag1'
_cell_length_a 5.365
_cell_length_b 5.365
_cell_length_c 5.365
_cell_angle_alpha 90.00
_cell_angle_beta 90.00
_cell_angle_gamma 90.00
_space_group_name_H-M_alt 'P m -3 m'
_space_group_IT_number 221
_space_group_name_Hall '-P 4 2 3'
loop_
_atom_site_label
_atom_site_type_symbol
_atom_site_fract_x
_atom_site_fract_y
_atom_site_fract_z
Mg1 Mg 0.000 0.000 0.500
Ti1 Ti 0.000 0.000 0.000
Ag1 Ag 0.500 0.500 0.500
```

=====

Most stable to least stable, the ends of the list are (i) and (ii).

=====

(i)
MgTi2Ag2 | GGA-PBE | optimized geometry

CIF file:
```
data_MgTi2Ag2
_chemical_formula_sum 'Mg2 Ti4 Ag4'
_cell_length_a 8.076
_cell_length_b 8.076
_cell_length_c 2.905
_cell_angle_alpha 90.00
_cell_angle_beta 90.00
_cell_angle_gamma 90.00
_space_group_name_H-M_alt 'P 4/m b m'
_space_group_IT_number 127
_space_group_name_Hall '-P 4 2ab'
loop_
_atom_site_label
_atom_site_type_symbol
_atom_site_fract_x
_atom_site_fract_y
_atom_site_fract_z
Mg1 Mg 0.000 0.000 0.000
Ti1 Ti 0.112 0.388 0.000
Ag1 Ag 0.182 0.682 0.500
```

=====

(ii)
MgTi2Ag2 | GGA-PBE | optimized geometry

CIF file:
```
data_MgTi2Ag2
_chemical_formula_sum 'Mg2 Ti4 Ag4'
_cell_length_a 7.701
_cell_length_b 7.701
_cell_length_c 3.156
_cell_angle_alpha 90.00
_cell_angle_beta 90.00
_cell_angle_gamma 90.00
_space_group_name_H-M_alt 'P 4/m b m'
_space_group_IT_number 127
_space_group_name_Hall '-P 4 2ab'
loop_
_atom_site_label
_atom_site_type_symbol
_atom_site_fract_x
_atom_site_fract_y
_atom_site_fract_z
Mg1 Mg 0.000 0.000 0.000
Ti1 Ti 0.165 0.335 0.500
Ag1 Ag 0.131 0.631 0.000
```

=====

Most stable to least stable, the ends of the list are (ii) and (i).

=====

(i)
Mg7Tl2Ag | GGA-PBE | optimized geometry

CIF file:
```
data_Mg7Tl2Ag
_chemical_formula_sum 'Mg28 Tl8 Ag4'
_cell_length_a 14.397
_cell_length_b 8.296
_cell_length_c 9.868
_cell_angle_alpha 90.00
_cell_angle_beta 129.24
_cell_angle_gamma 90.00
_space_group_name_H-M_alt 'C 1 2/c 1'
_space_group_IT_number 15
loop_
_space_group_symop_operation_xyz
'x,y,z'
'-x,-y,-z'
'-x,y,-z+1/2'
'x,-y,z+1/2'
'x+1/2,y+1/2,z'
'-x+1/2,-y+1/2,-z'
'-x+1/2,y+1/2,-z+1/2'
'x+1/2,-y+1/2,z+1/2'
loop_
_atom_site_label
_atom_site_type_symbol
_atom_site_fract_x
_atom_site_fract_y
_atom_site_fract_z
Mg1 Mg 0.000 0.147 0.250
Mg2 Mg 0.085 0.349 0.084
Mg3 Mg 0.133 0.223 0.802
Mg4 Mg 0.205 0.370 0.555
Tl1 Tl 0.165 0.006 0.088
Ag1 Ag 0.000 0.499 0.750
```

=====

(ii)
Mg7Tl2Ag | GGA-PBE | optimized geometry

CIF file:
```
data_Mg7Tl2Ag
_chemical_formula_sum 'Mg28 Tl8 Ag4'
_cell_length_a 10.589
_cell_length_b 10.589
_cell_length_c 10.589
_cell_angle_alpha 90.00
_cell_angle_beta 90.00
_cell_angle_gamma 90.00
_space_group_name_H-M_alt 'F m -3 m'
_space_group_IT_number 225
_space_group_name_Hall '-F 4 2 3'
loop_
_atom_site_label
_atom_site_type_symbol
_atom_site_fract_x
_atom_site_fract_y
_atom_site_fract_z
Mg1 Mg 0.000 0.000 0.000
Mg2 Mg 0.000 0.000 0.258
Tl1 Tl 0.250 0.250 0.250
Ag1 Ag 0.000 0.000 0.500
```

=====

Most stable to least stable, the ends of the list are (i) and (ii).